1.
! GGA-PBE LiCaLa, optimized geometry; values from VASP
&SYSTEM
  ibrav = 0, nat = 6, ntyp = 3
/
ATOMIC_SPECIES
Li 6.94 Li.upf
Ca 40.08 Ca.upf
La 138.91 La.upf
CELL_PARAMETERS angstrom
6.3475 -1.8368 0.0000
6.3475 1.8368 0.0000
-3.4826 0.0000 8.4842
ATOMIC_POSITIONS crystal
Li 0.0000 0.0000 0.0000
Li 0.6100 0.6100 0.8594
Ca 0.3194 0.3194 0.1286
Ca 0.9674 0.9674 0.5297
La 0.2780 0.2780 0.7029
La 0.6530 0.6530 0.3505
! Space group ... Cm (8)
! E above lowest polymorph ... 51 meV/atom
! ΔH_f (0 K) ... 78 meV/atom

***

2.
! GGA-PBE LiCaLa, optimized geometry; values from VASP
&SYSTEM
  ibrav = 0, nat = 6, ntyp = 3
/
ATOMIC_SPECIES
Li 6.94 Li.upf
Ca 40.08 Ca.upf
La 138.91 La.upf
CELL_PARAMETERS angstrom
8.9949 -1.8612 0.0000
8.9949 1.8612 0.0000
-0.9933 0.0000 5.9685
ATOMIC_POSITIONS crystal
Li 0.0000 0.0000 0.0000
Li 0.5463 0.5463 0.3432
Ca 0.3313 0.3313 0.9486
Ca 0.9062 0.9062 0.4849
La 0.2068 0.2068 0.3855
La 0.6445 0.6445 0.8641
! Space group ... Cm (8)
! E above lowest polymorph ... 57 meV/atom
! ΔH_f (0 K) ... 84 meV/atom

***

3.
! GGA-PBE Li2CaLa, optimized geometry; values from VASP
&SYSTEM
  ibrav = 0, nat = 4, ntyp = 3
/
ATOMIC_SPECIES
Li 6.94 Li.upf
Ca 40.08 Ca.upf
La 138.91 La.upf
CELL_PARAMETERS angstrom
6.1254 -1.7788 0.0000
6.1254 1.7788 0.0000
-2.0063 0.0000 5.5092
ATOMIC_POSITIONS crystal
Li 0.0000 0.0000 0.0000
Li 0.6873 0.6873 0.2719
Ca 0.2403 0.2403 0.8167
La 0.4459 0.4459 0.4663
! Space group ... Cm (8)
! E above lowest polymorph ... 38 meV/atom
! ΔH_f (0 K) ... 104 meV/atom